V3H6O10 PBE with a Hubbard U optimized geometry; energy above the most stable polymorph in this dataset = 0 meV/atom; E_tot = -6.29 eV/atom; D(E_F) = 0.0 states/eV per cell; total magnetic moment = 1.00 μB/f.u.; V = 12.8 A^3/atom
1.0
-0.7586 -5.8995 1.6456
3.7308 0.1388 8.1325
-8.0563 1.0422 3.8991
V H O
6 12 20
direct
0.7417 0.4955 0.5045
0.7492 0.9859 0.0025
0.7812 0.6266 0.1354
0.7356 0.3666 0.8774
0.6956 0.8581 0.6525
0.7026 0.1409 0.3652
0.2942 0.6369 0.4400
0.3304 0.1450 0.0671
0.3174 0.5741 0.8687
0.3160 0.1941 0.4628
0.1065 0.7161 0.9197
0.3080 0.7540 0.7824
0.3274 0.3290 0.0373
0.3040 0.2524 0.2131
0.0703 0.6583 0.3460
0.3164 0.7007 0.2698
0.2361 0.0632 0.6531
0.0657 0.2209 0.6435
0.4684 0.5328 0.5136
0.4762 0.0006 0.0275
0.8764 0.5729 0.3104
0.8257 0.3912 0.6895
0.8269 0.9056 0.7998
0.8126 0.0660 0.1954
0.8142 0.6787 0.5884
0.8234 0.2902 0.4089
0.8119 0.1785 0.9212
0.8994 0.7821 0.0637
0.5070 0.6722 0.1549
0.4565 0.4208 0.9165
0.4228 0.8630 0.7065
0.4110 0.2073 0.3594
0.8626 0.4787 0.9973
0.7245 0.9991 0.5044
0.2191 0.6714 0.8359
0.2563 0.2536 0.1069
0.2036 0.7060 0.3662
0.2181 0.1679 0.6151